No. 1
NiBi after structural relaxation, computed with GGA-PBE.

SG: Pmmn (59)
DOS at the Fermi energy, states/eV/f.u.: 1.19
Calculated total energy, eV/atom: -4.700
V, Å³ per cell: 249.7

a = 4.5556 Å, b = 10.1694 Å, c = 5.3894 Å
α = 90.00°, β = 90.00°, γ = 90.00°
Last column: nearest neighbours and their distance in Å.
Element x y z (fractional)
Ni 0.2500 0.0069 0.1409  3 Ni 2.59-2.74, 5 Bi 2.70-2.90
Ni 0.2500 0.2500 0.2858  4 Bi 2.58-2.60, 2 Ni 2.59
Ni 0.2500 0.4931 0.1409  3 Ni 2.59-2.74, 5 Bi 2.70-2.90
Ni 0.7500 0.5069 0.8591  3 Ni 2.59-2.74, 5 Bi 2.70-2.90
Ni 0.7500 0.7500 0.7142  4 Bi 2.58-2.60, 2 Ni 2.59
Ni 0.7500 0.9931 0.8591  3 Ni 2.59-2.74, 5 Bi 2.70-2.90
Bi 0.2500 0.0862 0.6574  5 Ni 2.60-2.90
Bi 0.2500 0.4138 0.6574  5 Ni 2.60-2.90
Bi 0.2500 0.7500 0.9388  4 Ni 2.58-2.83
Bi 0.7500 0.2500 0.0612  4 Ni 2.58-2.83
Bi 0.7500 0.5862 0.3426  5 Ni 2.60-2.90
Bi 0.7500 0.9138 0.3426  5 Ni 2.60-2.90

No. 2
YSb2Au after structural relaxation, computed with GGA-PBE.

SG: C2/m (12)
DOS at the Fermi energy, states/eV/f.u.: 1.85
Formation energy without anion corrections, eV per atom: -0.55
Calculated total energy, eV/atom: -5.046
V, Å³ per cell: 96.2

a = 4.7877 Å, b = 4.7877 Å, c = 4.1992 Å
α = 90.30°, β = 90.30°, γ = 90.66°
Last column: nearest neighbours and their distance in Å.
Element x y z (fractional)
Y 0.0000 0.0000 0.0000  8 Sb 3.18-3.19, 4 Au 3.37-3.40
Sb 0.0000 0.5000 0.5000  4 Au 3.18-3.19, 4 Y 3.18-3.19, 4 Sb 3.37-3.40
Sb 0.5000 0.0000 0.5000  4 Y 3.18-3.19, 4 Au 3.18-3.19, 4 Sb 3.37-3.40
Au 0.5000 0.5000 0.0000  8 Sb 3.18-3.19, 4 Y 3.37-3.40

No. 3
EuGdInRh after structural relaxation, computed with GGA-PBE.

SG: F-43m (216)
DOS at the Fermi energy, states/eV/f.u.: 7.92
Calculated total energy, eV/atom: -9.018
V, Å³ per cell: 99.1

a = 5.1942 Å, b = 5.1942 Å, c = 5.1942 Å
α = 60.00°, β = 60.00°, γ = 60.00°
Last column: nearest neighbours and their distance in Å.
Element x y z (fractional)
Eu 0.0000 0.0000 0.0000  4 In 3.18, 4 Rh 3.18
Gd 0.5000 0.5000 0.5000  4 In 3.18, 4 Rh 3.18
In 0.7500 0.7500 0.7500  4 Gd 3.18, 4 Eu 3.18
Rh 0.2500 0.2500 0.2500  4 Gd 3.18, 4 Eu 3.18

No. 4
YNbGeAs2 after structural relaxation, computed with GGA-PBE.

SG: P4/mmm (123)
DOS at the Fermi energy, states/eV/f.u.: 2.76
Calculated total energy, eV/atom: -6.201
V, Å³ per cell: 123.5

a = 4.9819 Å, b = 4.9819 Å, c = 4.9746 Å
α = 90.00°, β = 90.00°, γ = 90.00°
Last column: nearest neighbours and their distance in Å.
Element x y z (fractional)
Y 0.0000 0.0000 0.0000  8 As 3.52, 4 Ge 3.52
Nb 0.5000 0.5000 0.5000  2 Ge 2.49, 4 As 2.49
Ge 0.5000 0.5000 0.0000  2 Nb 2.49
As 0.0000 0.5000 0.5000  2 Nb 2.49
As 0.5000 0.0000 0.5000  2 Nb 2.49

No. 5
SeI2O after structural relaxation, computed with GGA-PBE.

SG: Fm-3m (225)
DOS at the Fermi energy, states/eV/f.u.: 4.25
Formation energy without anion corrections, eV per atom: 0.92
Calculated total energy, eV/atom: -1.965
V, Å³ per cell: 88.0
ΔE to the lowest computed polymorph, meV per atom: 216

a = 4.9920 Å, b = 4.9920 Å, c = 4.9920 Å
α = 60.00°, β = 60.00°, γ = 60.00°
Last column: nearest neighbours and their distance in Å.
Element x y z (fractional)
Se 0.0000 0.0000 0.0000  8 I 3.06
I 0.2500 0.2500 0.2500  4 O 3.06, 4 Se 3.06
I 0.7500 0.7500 0.7500  4 Se 3.06, 4 O 3.06
O 0.5000 0.5000 0.5000  8 I 3.06

No. 6
LaPm7Pr12 after structural relaxation, computed with GGA-PBE.

SG: Im-3m (229)
DOS at the Fermi energy, states/eV/f.u.: 27.23
Calculated total energy, eV/atom: -4.190
V, Å³ per cell: 812.9
ΔE to the lowest computed polymorph, meV per atom: 392

a = 10.1831 Å, b = 10.1831 Å, c = 10.1831 Å
α = 109.47°, β = 109.47°, γ = 109.47°
Last column: nearest neighbours and their distance in Å.
Element x y z (fractional)
La 0.0000 0.0000 0.0000  12 Pr 4.19
Pm 0.0000 0.0000 0.5000  6 Pr 2.94
Pm 0.0000 0.5000 0.0000  6 Pr 2.94
Pm 0.0000 0.5000 0.5000  12 Pr 4.12-4.16
Pm 0.5000 0.0000 0.0000  6 Pr 2.94
Pm 0.5000 0.0000 0.5000  12 Pr 4.12-4.16
Pm 0.5000 0.5000 0.0000  12 Pr 4.12-4.16
Pm 0.5000 0.5000 0.5000  6 Pr 2.94
Pr 0.0000 0.2522 0.7478  2 Pm 2.94
Pr 0.0000 0.7478 0.2522  2 Pm 2.94
Pr 0.2522 0.0000 0.7478  2 Pm 2.94
Pr 0.2522 0.2522 0.5045  2 Pm 2.94
Pr 0.2522 0.5045 0.2522  2 Pm 2.94
Pr 0.2522 0.7478 0.0000  2 Pm 2.94
Pr 0.4955 0.7478 0.7478  2 Pm 2.94
Pr 0.5045 0.2522 0.2522  2 Pm 2.94
Pr 0.7478 0.0000 0.2522  2 Pm 2.94
Pr 0.7478 0.2522 0.0000  2 Pm 2.94
Pr 0.7478 0.4955 0.7478  2 Pm 2.94
Pr 0.7478 0.7478 0.4955  2 Pm 2.94

No. 7
TbHo3Ru4 after structural relaxation, computed with GGA-PBE.

SG: P4/mmm (123)
DOS at the Fermi energy, states/eV/f.u.: 9.10
Calculated total energy, eV/atom: -7.267
V, Å³ per cell: 156.0

a = 4.7902 Å, b = 4.7902 Å, c = 6.7984 Å
α = 90.00°, β = 90.00°, γ = 90.00°
Last column: nearest neighbours and their distance in Å.
Element x y z (fractional)
Tb 0.0000 0.0000 0.0000  8 Ru 2.94
Ho 0.0000 0.0000 0.5000  8 Ru 2.93
Ho 0.5000 0.5000 0.0000  8 Ru 2.94
Ho 0.5000 0.5000 0.5000  8 Ru 2.93
Ru 0.0000 0.5000 0.2510  6 Ho 2.93-2.94, 2 Tb 2.94
Ru 0.0000 0.5000 0.7490  6 Ho 2.93-2.94, 2 Tb 2.94
Ru 0.5000 0.0000 0.2510  6 Ho 2.93-2.94, 2 Tb 2.94
Ru 0.5000 0.0000 0.7490  6 Ho 2.93-2.94, 2 Tb 2.94

No. 8
Ac3Si2Ir after structural relaxation, computed with GGA-PBE.

SG: Pnma (62)
DOS at the Fermi energy, states/eV/f.u.: 2.53
Formation energy without anion corrections, eV per atom: -0.65
Calculated total energy, eV/atom: -5.993
V, Å³ per cell: 690.5

a = 12.4856 Å, b = 4.4394 Å, c = 12.4568 Å
α = 90.00°, β = 90.00°, γ = 90.00°
Last column: nearest neighbours and their distance in Å.
Element x y z (fractional)
Ac 0.0613 0.2500 0.1241  1 Ir 3.11, 4 Si 3.29
Ac 0.1152 0.7500 0.5564  5 Si 3.13-3.31, 3 Ir 3.23-3.28
Ac 0.2080 0.2500 0.8032  2 Ir 3.09, 4 Si 3.20-3.40
Ac 0.2920 0.7500 0.3032  2 Ir 3.09, 4 Si 3.20-3.40
Ac 0.3848 0.2500 0.0564  5 Si 3.13-3.31, 3 Ir 3.23-3.28
Ac 0.4387 0.7500 0.6241  1 Ir 3.11, 4 Si 3.29
Ac 0.5613 0.2500 0.3759  1 Ir 3.11, 4 Si 3.29
Ac 0.6152 0.7500 0.9436  5 Si 3.13-3.31, 3 Ir 3.23-3.28
Ac 0.7080 0.2500 0.6968  2 Ir 3.09, 4 Si 3.20-3.40
Ac 0.7920 0.7500 0.1968  2 Ir 3.09, 4 Si 3.20-3.40
Ac 0.8848 0.2500 0.4436  5 Si 3.13-3.31, 3 Ir 3.23-3.28
Ac 0.9387 0.7500 0.8759  1 Ir 3.11, 4 Si 3.29
Si 0.0359 0.7500 0.3178  2 Ir 2.58
Si 0.2021 0.7500 0.9902  1 Ir 2.61
Si 0.2979 0.2500 0.4902  1 Ir 2.61
Si 0.4641 0.2500 0.8178  2 Ir 2.58
Si 0.5359 0.7500 0.1822  2 Ir 2.58
Si 0.7021 0.7500 0.5098  1 Ir 2.61
Si 0.7979 0.2500 0.0098  1 Ir 2.61
Si 0.9641 0.2500 0.6822  2 Ir 2.58
Ir 0.1312 0.2500 0.3635  3 Si 2.58-2.61
Ir 0.3688 0.7500 0.8635  3 Si 2.58-2.61
Ir 0.6312 0.2500 0.1365  3 Si 2.58-2.61
Ir 0.8688 0.7500 0.6365  3 Si 2.58-2.61

No. 9
HfRhSN2 after structural relaxation, computed with GGA-PBE.

SG: P4/mmm (123)
DOS at the Fermi energy, states/eV/f.u.: 5.30
Formation energy without anion corrections, eV per atom: 0.65
Calculated total energy, eV/atom: -6.964
V, Å³ per cell: 84.2
ΔE to the lowest computed polymorph, meV per atom: 41

a = 4.0694 Å, b = 4.0694 Å, c = 5.0842 Å
α = 90.00°, β = 90.00°, γ = 90.00°
Last column: nearest neighbours and their distance in Å.
Element x y z (fractional)
Hf 0.0000 0.0000 0.0000  4 N 2.03
Rh 0.5000 0.5000 0.5000  4 S 2.88
S 0.0000 0.0000 0.5000  2 Hf 2.54
N 0.0000 0.5000 0.0000  2 Hf 2.03
N 0.5000 0.0000 0.0000  2 Hf 2.03

No. 10
Sc4Ir after structural relaxation, computed with GGA-PBE.

SG: Fd-3m (227)
DOS at the Fermi energy, states/eV/f.u.: 6.48
Calculated total energy, eV/atom: -6.702
V, Å³ per cell: 255.9
ΔE to the lowest computed polymorph, meV per atom: 529

a = 7.1264 Å, b = 7.1264 Å, c = 7.1264 Å
α = 60.00°, β = 60.00°, γ = 60.00°
Last column: nearest neighbours and their distance in Å.
Element x y z (fractional)
Sc 0.2029 0.7657 0.7657  1 Ir 2.46
Sc 0.2343 0.2343 0.2343  1 Ir 2.46
Sc 0.2343 0.2343 0.7971  1 Ir 2.46
Sc 0.2343 0.7971 0.2343  1 Ir 2.46
Sc 0.7657 0.2029 0.7657  1 Ir 2.46
Sc 0.7657 0.7657 0.2029  1 Ir 2.46
Sc 0.7657 0.7657 0.7657  1 Ir 2.46
Sc 0.7971 0.2343 0.2343  1 Ir 2.46
Ir 0.3750 0.3750 0.3750  4 Sc 2.46
Ir 0.6250 0.6250 0.6250  4 Sc 2.46

No. 11
Nd2CuRu after structural relaxation, computed with GGA-PBE.

SG: I4/mmm (139)
DOS at the Fermi energy, states/eV/f.u.: 4.22
Calculated total energy, eV/atom: -5.896
V, Å³ per cell: 89.4

a = 5.0217 Å, b = 5.0217 Å, c = 5.0217 Å
α = 120.12°, β = 120.12°, γ = 89.79°
Last column: nearest neighbours and their distance in Å.
Element x y z (fractional)
Nd 0.2500 0.7500 0.5000  4 Ru 3.07, 4 Cu 3.07
Nd 0.7500 0.2500 0.5000  4 Ru 3.07, 4 Cu 3.07
Cu 0.0000 0.0000 0.0000  8 Nd 3.07
Ru 0.5000 0.5000 0.0000  8 Nd 3.07